[1]
Er4InPbN | the Alexandria database | PBE | relaxed; formation energy without anion corrections = -824 meV/atom
1.0
3.309 -7.986 0.000
3.309 7.986 0.000
0.000 0.000 6.617
Er In Pb N
8 2 2 2
Direct
0.000 0.500 0.000
0.000 0.500 0.500
0.089 0.911 0.750
0.407 0.593 0.750
0.500 0.000 0.000
0.500 0.000 0.500
0.593 0.407 0.250
0.911 0.089 0.250
0.110 0.890 0.250
0.890 0.110 0.750
0.394 0.606 0.250
0.606 0.394 0.750
0.251 0.749 0.750
0.749 0.251 0.250

---

[2]
Pr2ErInN | the Alexandria database | PBE | relaxed; formation energy without anion corrections = -876 meV/atom
1.0
5.106 0.000 0.000
0.000 5.106 0.000
0.000 0.000 4.757
Pr Er In N
2 1 1 1
Direct
0.000 0.500 0.000
0.500 0.000 0.000
0.000 0.000 0.500
0.500 0.500 0.500
0.000 0.000 0.000

---

[3]
Er2ScInN | the Alexandria database | PBE | relaxed; formation energy without anion corrections = -1039 meV/atom
1.0
4.756 0.000 0.000
0.000 4.756 0.000
0.000 0.000 4.516
Er Sc In N
2 1 1 1
Direct
0.000 0.500 0.000
0.500 0.000 0.000
0.000 0.000 0.500
0.500 0.500 0.500
0.000 0.000 0.000

---

[4]
Sm2ErInN | the Alexandria database | PBE | relaxed; formation energy without anion corrections = -943 meV/atom
1.0
4.964 0.000 0.000
0.000 4.964 0.000
0.000 0.000 4.767
Sm Er In N
2 1 1 1
Direct
0.000 0.500 0.000
0.500 0.000 0.000
0.000 0.000 0.500
0.500 0.500 0.500
0.000 0.000 0.000

---

[5]
TbEr2InN | the Alexandria database | PBE | relaxed; formation energy without anion corrections = -1004 meV/atom
1.0
4.769 0.000 0.000
0.000 4.769 0.000
0.000 0.000 4.844
Tb Er In N
1 2 1 1
Direct
0.000 0.000 0.000
0.000 0.500 0.500
0.500 0.000 0.500
0.500 0.500 0.000
0.000 0.000 0.500

---

[6]
Er2ThInN | the Alexandria database | PBE | relaxed; formation energy without anion corrections = -884 meV/atom
1.0
4.837 0.000 0.000
0.000 4.837 0.000
0.000 0.000 4.910
Er Th In N
2 1 1 1
Direct
0.000 0.500 0.000
0.500 0.000 0.000
0.000 0.000 0.500
0.500 0.500 0.500
0.000 0.000 0.000

---

[7]
ErTm2InN4 | the Alexandria database | PBE | relaxed; formation energy without anion corrections = -1282 meV/atom
1.0
5.880 0.000 0.000
0.000 3.404 0.000
-2.035 0.000 5.524
Er Tm In N
1 2 1 4
Direct
0.000 0.000 0.000
0.000 0.500 0.500
0.500 0.000 0.500
0.500 0.500 0.000
0.245 0.500 0.257
0.248 0.000 0.747
0.752 0.000 0.253
0.755 0.500 0.743

---

[8]
YEr2InN | the Alexandria database | PBE | relaxed; formation energy without anion corrections = -1014 meV/atom
1.0
4.768 0.000 0.000
0.000 4.768 0.000
0.000 0.000 4.826
Y Er In N
1 2 1 1
Direct
0.000 0.000 0.000
0.000 0.500 0.500
0.500 0.000 0.500
0.500 0.500 0.000
0.000 0.000 0.500